# NdPaOsAu

An optimized crystal structure of NdPaOsAu (PBE, Alexandria).

For the formation energy, the calculation gives -71 kJ/mol of formula units. As for the magnetization: 0.02 μB/cell.

The space group is F-43m (No. 216) and the conventional cell measures 7.124, 7.124 and 7.124 Å, with angles of 90.00, 90.00 and 90.00 degrees. Symmetry generates all atoms from Nd at (0.000, 0.000, 0.000), Pa at (0.000, 0.000, 0.500), Os at (0.250, 0.250, 0.750) and Au at (0.250, 0.250, 0.250).

=====

# Y3Er5S8

An optimized crystal structure of Y3Er5S8 (PBE, Alexandria).

For the formation energy without anion corrections, the calculation gives -1.9656 eV/atom. As for the magnetization: 0.00 μB/cell.

The space group is R-3m (No. 166, hexagonal axes) and the conventional cell measures 7.7672, 7.7672 and 19.0519 Å, with angles of 90.00, 90.00 and 120.00 degrees. Symmetry generates all atoms from Y at (0.0000, 0.5000, 0.0000), Er at (0.0000, 0.0000, 0.0000), Er at (0.0000, 0.0000, 0.5000), Er at (0.0000, 0.5000, 0.5000), S at (0.0000, 0.0000, 0.2481) and S at (0.0024, 0.5012, 0.7512).